A PBEsol-optimized structure of YPtSe2, computed with SCAN.

Cell lengths 3.935, 3.935, 5.668 Å; angles 110.31, 110.31, 90.00 degrees
Element x y z (fractional)
Pt (0.250, 0.750, 0.500)
Se (0.000, 0.000, 0.000)
Se (0.750, 0.250, 0.500)
Y (0.500, 0.500, 0.000)

## Properties
Its density of states at the Fermi level is 0.43 states/eV/atom. The uncorrected formation energy is -3.63 eV per formula unit.